First-principles (GGA-PBE) data for a relaxed structure of Cs2AlH, as listed in Alexandria via LeMat-Bulk.

Unit cell a=6.252 b=6.252 c=6.252 alpha=60.00 beta=60.00 gamma=60.00
Each line ends with the local moment (μB).
Fractional coordinates of all 4 atoms:
Cs (0.250, 0.250, 0.250)  0.06
Cs (0.750, 0.750, 0.750)  0.06
H (0.000, 0.000, 0.000)  -0.01
Al (0.500, 0.500, 0.500)  0.21

Calculated values
Fermi-level density of states: 0.673 states/eV/atom
M_tot: 1.98 μB/f.u.
total DFT energy (no corrections): -6.6 eV/f.u.